Entry 1:
A relaxed structure of KLaC2. Source: Alexandria, functional PBE.

Output
total magnetization: 0.4996 μB/atom
ΔH_f (0 K): 1.536 eV/atom

Unit cell a=6.401 b=6.401 c=6.401 alpha=113.44 beta=113.44 gamma=101.80
Element x y z (fractional)
K: 0.000 0.000 0.000
K: 0.750 0.250 0.500
La: 0.250 0.750 0.500
La: 0.500 0.500 0.000
C: 0.195 0.625 0.070
C: 0.375 0.445 0.570
C: 0.555 0.125 0.930
C: 0.875 0.805 0.430


Entry 2:
A relaxed structure of KLaC3. Source: Alexandria, functional PBE.

Output
total magnetization: 0.1683 μB/atom
ΔH_f (0 K): 2.957 eV/atom

Unit cell a=4.469 b=4.469 c=4.469 alpha=90.00 beta=90.00 gamma=90.00
Element x y z (fractional)
K: 0.000 0.000 0.000
La: 0.500 0.500 0.500
C: 0.000 0.000 0.500
C: 0.000 0.500 0.000
C: 0.500 0.000 0.000


no.,DOS at the Fermi energy (states/eV per cell)
1,4.1
2,4.8